[1]
VASP calculation (PBE-GGA) on a relaxed AgRuSe crystal.

Cell lengths 6.3017, 6.3017, 6.3017 Å; angles 152.16, 152.16, 39.77 degrees
Positions (direct):
Ag 0.0000 0.0000 0.0000
Ru 0.3299 0.3299 0.0000
Se 0.7231 0.7231 0.0000

DOS(E_F): 1.32 states/eV/f.u.
relative energy among the computed polymorphs: 31.9 meV per atom
ΔE_f (raw): 0.11 eV/atom
volume: 54.5 Å³/cell

=====

[2]
VASP calculation (PBE-GGA) on a relaxed Pr4CSI2 crystal.

Cell lengths 7.1533, 4.0498, 8.0802 Å; angles 90.00, 106.64, 90.00 degrees
Positions (direct):
Pr 0.2035 0.0000 0.1780
Pr 0.2435 0.5000 0.8199
Pr 0.7565 0.5000 0.1801
Pr 0.7965 0.0000 0.8220
C 0.0000 0.5000 0.0000
S 0.5000 0.0000 0.0000
I 0.0000 0.0000 0.5000
I 0.5000 0.5000 0.5000

DOS(E_F): 3.27 states/eV/f.u.
ΔE_f (raw): -1.10 eV/atom
volume: 224.3 Å³/cell

=====

[3]
VASP calculation (PBE-GGA) on a relaxed Dy2YBi crystal.

Cell lengths 6.5377, 6.5377, 9.7123 Å; angles 90.00, 90.00, 142.92 degrees
Positions (direct):
Dy 0.1339 0.8661 0.5454
Dy 0.1339 0.8661 0.9546
Dy 0.8661 0.1339 0.0454
Dy 0.8661 0.1339 0.4546
Y 0.4432 0.5568 0.7500
Y 0.5568 0.4432 0.2500
Bi 0.2587 0.7413 0.2500
Bi 0.7413 0.2587 0.7500

DOS(E_F): 6.02 states/eV/f.u.
relative energy among the computed polymorphs: 0.0 meV per atom
volume: 250.3 Å³/cell
energy of formation from the pure elements: -397.6 meV/atom

=====

[4]
VASP calculation (PBE-GGA) on a relaxed Zn6CdAu crystal.

Cell lengths 4.7069, 5.7002, 4.8006 Å; angles 90.00, 90.00, 90.00 degrees
Positions (direct):
Zn 0.0000 0.0000 0.0000
Zn 0.0000 0.2392 0.5073
Zn 0.0000 0.7608 0.5073
Zn 0.5000 0.2451 0.8309
Zn 0.5000 0.5000 0.3559
Zn 0.5000 0.7549 0.8309
Cd 0.0000 0.5000 0.0064
Au 0.5000 0.0000 0.3245

DOS(E_F): 1.48 states/eV/f.u.
volume: 128.8 Å³/cell
energy of formation from the pure elements: -41.3 meV/atom

=====

[5]
VASP calculation (PBE-GGA) on a relaxed Ac6Sm3Mg crystal.

Cell lengths 10.3435, 6.1267, 13.5133 Å; angles 90.00, 111.36, 90.00 degrees
Positions (direct):
Ac 0.0377 0.2500 0.4299
Ac 0.1668 0.7500 0.1586
Ac 0.2529 0.2500 0.0024
Ac 0.3469 0.2500 0.3263
Ac 0.3497 0.7500 0.7995
Ac 0.4226 0.2500 0.6338
Ac 0.5774 0.7500 0.3662
Ac 0.6503 0.2500 0.2005
Ac 0.6531 0.7500 0.6737
Ac 0.7471 0.7500 0.9976
Ac 0.8332 0.2500 0.8414
Ac 0.9623 0.7500 0.5701
Sm 0.0332 0.7500 0.8591
Sm 0.1035 0.2500 0.7194
Sm 0.2649 0.7500 0.4692
Sm 0.7351 0.2500 0.5308
Sm 0.8965 0.7500 0.2806
Sm 0.9668 0.2500 0.1409
Mg 0.4617 0.7500 0.0816
Mg 0.5383 0.2500 0.9184

DOS(E_F): 14.14 states/eV/f.u.
volume: 797.6 Å³/cell
energy of formation from the pure elements: 30.6 meV/atom

=====

[6]
VASP calculation (PBE-GGA) on a relaxed Zn7Ag12Sn crystal.

Cell lengths 7.1846, 7.1846, 7.1846 Å; angles 85.20, 85.20, 85.20 degrees
Positions (direct):
Zn 0.0000 0.0000 0.0000
Zn 0.1361 0.4443 0.3825
Zn 0.3825 0.1361 0.4443
Zn 0.4443 0.3825 0.1361
Zn 0.5557 0.6175 0.8639
Zn 0.6175 0.8639 0.5557
Zn 0.8639 0.5557 0.6175
Ag 0.0484 0.1273 0.6370
Ag 0.1273 0.6370 0.0484
Ag 0.1737 0.7273 0.6549
Ag 0.2727 0.3451 0.8263
Ag 0.3451 0.8263 0.2727
Ag 0.3630 0.9516 0.8727
Ag 0.6370 0.0484 0.1273
Ag 0.6549 0.1737 0.7273
Ag 0.7273 0.6549 0.1737
Ag 0.8263 0.2727 0.3451
Ag 0.8727 0.3630 0.9516
Ag 0.9516 0.8727 0.3630
Sn 0.5000 0.5000 0.5000

DOS(E_F): 7.66 states/eV/f.u.
volume: 367.2 Å³/cell
energy of formation from the pure elements: 90.3 meV/atom

=====

[7]
VASP calculation (PBE-GGA) on a relaxed HfPaCo crystal.

Cell lengths 6.1907, 6.1907, 6.1907 Å; angles 150.33, 150.33, 42.46 degrees
Positions (direct):
Hf 0.0000 0.0000 0.0000
Pa 0.7145 0.7145 0.0000
Co 0.3687 0.3687 0.0000

DOS(E_F): 5.67 states/eV/f.u.
relative energy among the computed polymorphs: 196.1 meV per atom
volume: 58.0 Å³/cell
energy of formation from the pure elements: -108.3 meV/atom

=====

[8]
VASP calculation (PBE-GGA) on a relaxed CrSnN2 crystal.

Cell lengths 4.5764, 4.5764, 6.5217 Å; angles 126.47, 126.47, 37.33 degrees
Positions (direct):
Cr 0.0000 0.0000 0.0000
Sn 0.2601 0.2601 0.5426
N 0.6806 0.6806 0.0459
N 0.8139 0.8139 0.0345

DOS(E_F): 2.58 states/eV/f.u.
ΔE_f (raw): 0.25 eV/atom
volume: 64.5 Å³/cell